Density functional theory data (PBE) for an optimized crystal structure of Ac5AlZn2.

Cell lengths 8.0911, 8.0911, 10.1741 Å; angles 113.43, 113.43, 90.00 degrees
Closest atoms and distances in Å follow each position.
Fractional positions:
Zn 0.6136 0.1136 0.0000  1 Zn 2.60
Zn 0.1136 0.3864 0.0000  1 Zn 2.60
Ac 0.4768 0.3218 0.2987  2 Al 3.44, 3 Zn 3.45-3.51, 1 Ac 3.82
Zn 0.8864 0.6136 0.0000  1 Zn 2.60
Ac 0.0232 0.5232 0.7013  2 Al 3.44, 3 Zn 3.45-3.51, 1 Ac 3.82
Ac 0.0000 0.0000 0.0000  4 Zn 3.26
Ac 0.1782 0.0232 0.7013  2 Al 3.44, 3 Zn 3.45-3.51, 1 Ac 3.82
Al 0.2500 0.2500 0.5000  8 Ac 3.44
Ac 0.9768 0.4768 0.2987  2 Al 3.44, 3 Zn 3.45-3.51, 1 Ac 3.82
Al 0.7500 0.7500 0.5000  8 Ac 3.44
Ac 0.6782 0.1782 0.7013  2 Al 3.44, 3 Zn 3.45-3.51, 1 Ac 3.82
Ac 0.5232 0.6782 0.7013  2 Al 3.44, 3 Zn 3.45-3.51, 1 Ac 3.82
Ac 0.5000 0.5000 0.0000  4 Zn 3.26
Ac 0.3218 0.8218 0.2987  2 Al 3.44, 3 Zn 3.45-3.51, 1 Ac 3.82
Zn 0.3864 0.8864 0.0000  1 Zn 2.60
Ac 0.8218 0.9768 0.2987  2 Al 3.44, 3 Zn 3.45-3.51, 1 Ac 3.82

* mass density: 7.80 Mg/m³
* total energy: -3.52 eV/atom
* energy of formation from the pure elements: -165.5 meV per atom

***

Density functional theory data (PBE) for an optimized crystal structure of Ac2Al2Zn.

Cell lengths 4.8754, 6.1827, 10.3816 Å; angles 84.50, 76.42, 66.78 degrees
Closest atoms and distances in Å follow each position.
Fractional positions:
Zn 0.3742 0.8985 0.3531  4 Al 2.69-2.97
Ac 0.3166 0.6989 0.6679  7 Al 3.33-3.61, 4 Zn 3.35-3.40
Al 0.9154 0.7260 0.4432  3 Zn 2.78-2.97, 1 Al 2.81
Al 0.0846 0.2740 0.5568  3 Zn 2.78-2.97, 1 Al 2.81
Ac 0.0900 0.7215 0.0985  6 Al 3.35-3.48, 2 Zn 3.68, 1 Ac 3.73
Al 0.3794 0.1231 0.1181  1 Zn 2.69, 1 Al 2.77
Ac 0.6834 0.3011 0.3321  7 Al 3.33-3.61, 4 Zn 3.35-3.40
Al 0.6206 0.8769 0.8819  1 Zn 2.69, 1 Al 2.77
Ac 0.9100 0.2785 0.9015  6 Al 3.35-3.48, 2 Zn 3.68, 1 Ac 3.73
Zn 0.6258 0.1015 0.6469  4 Al 2.69-2.97

* mass density: 6.81 Mg/m³
* total energy: -3.72 eV/atom
* energy of formation from the pure elements: -320.9 meV per atom

***

Density functional theory data (PBE) for an optimized crystal structure of AcAlZn2.

Cell lengths 3.5383, 3.5383, 7.2270 Å; angles 90.00, 90.00, 90.00 degrees
Closest atoms and distances in Å follow each position.
Fractional positions:
Zn 0.0000 0.0000 0.6882  1 Zn 2.72, 4 Al 2.85
Ac 0.5000 0.5000 0.0000  8 Zn 3.37, 4 Ac 3.54, 2 Al 3.61
Al 0.5000 0.5000 0.5000  8 Zn 2.85
Zn 0.0000 0.0000 0.3118  1 Zn 2.72, 4 Al 2.85

* mass density: 7.06 Mg/m³
* total energy: -2.68 eV/atom
* energy of formation from the pure elements: -79.0 meV per atom

***

Density functional theory data (PBE) for an optimized crystal structure of AcAlZn2.

Cell lengths 4.2652, 4.7803, 4.7803 Å; angles 90.00, 90.00, 90.00 degrees
Closest atoms and distances in Å follow each position.
Fractional positions:
Zn 0.0000 0.5000 0.0000  4 Ac 3.20, 4 Al 3.20, 4 Zn 3.38
Al 0.5000 0.0000 0.0000  8 Zn 3.20, 4 Ac 3.38
Ac 0.5000 0.5000 0.5000  8 Zn 3.20, 4 Al 3.38
Zn 0.0000 0.0000 0.5000  4 Ac 3.20, 4 Al 3.20, 4 Zn 3.38

* mass density: 6.56 Mg/m³
* total energy: -2.65 eV/atom
* energy of formation from the pure elements: -49.7 meV per atom

***

What is the formula in the second record? Ac2Al2Zn

***

total energy of number 2 (Ac2Al2Zn)? -3.72 eV/atom

***

What is the energy of formation from the pure elements in the first record? -165.5 meV per atom